P:
TbNd4Mg: optimized geometry, GGA-PBE.

a b c (Å): 3.682 3.682 14.539
angles (deg): 90.00 90.00 90.00
Fractional positions:
Tb  0.000  0.000  0.000
Nd  0.000  0.000  0.349
Nd  0.000  0.000  0.651
Nd  0.500  0.500  0.174
Nd  0.500  0.500  0.826
Mg  0.500  0.500  0.500

Calculated values
- total magnetization (Bohr magnetons per cell) = 0.00
- D(E_F) (states/eV per cell) = 7.2
- theoretical density (Mg/m³) = 6.40

Q:
TbNd4Mg: optimized geometry, GGA-PBE.

a b c (Å): 8.565 8.565 6.588
angles (deg): 109.10 109.10 104.18
Fractional positions:
Tb  0.147  0.853  0.750
Tb  0.853  0.147  0.250
Nd  0.133  0.526  0.275
Nd  0.270  0.401  0.769
Nd  0.401  0.270  0.269
Nd  0.474  0.867  0.225
Nd  0.526  0.133  0.775
Nd  0.599  0.730  0.731
Nd  0.730  0.599  0.231
Nd  0.867  0.474  0.725
Mg  0.094  0.906  0.250
Mg  0.906  0.094  0.750

Calculated values
- total magnetization (Bohr magnetons per cell) = 0.00
- D(E_F) (states/eV per cell) = 17.0
- theoretical density (Mg/m³) = 6.37

Q: Which of them is the most stable? A: P.